Computed, not measured: Ca8Mg2Pd after structural relaxation at the PBE level of DFT.

Output
Its energy of formation from the pure elements is -0.142 eV per atom. The value obtained for the magnetic moment is 0.000 Bohr magnetons per cell.

Unit cell a=19.202 b=5.697 c=7.293 alpha=90.00 beta=109.63 gamma=90.00
Space group C2/m (No. 12)
Unique sites:
Ca: 0.017 0.000 0.283
Ca: 0.094 0.500 0.917
Ca: 0.144 0.500 0.451
Ca: 0.206 0.000 0.784
Mg: 0.181 0.000 0.219
Pd: 0.000 0.500 0.500